Record 1
Entry from the Alexandria database: an optimized crystal structure of CoAgRu2 (PBE).

a = 2.7674 Å, b = 4.5524 Å, c = 4.6046 Å
α = 90.00°, β = 90.00°, γ = 90.00°
Closest atoms and distances in Å follow each position.
Space group Pmmm (No. 47)
Asymmetric unit:
Co 0.0000 0.0000 0.0000  4 Ag 2.66, 4 Ru 2.69, 2 Co 2.77
Ag 0.5000 0.5000 0.0000  4 Co 2.66, 4 Ru 2.69, 2 Ag 2.77
Ru 0.0000 0.5000 0.5000  6 Ru 2.66-2.77, 4 Ag 2.69
Ru 0.5000 0.0000 0.5000  6 Ru 2.66-2.77, 4 Co 2.69

DFT formation energy in eV per atom: 0.62
Volume in Å³ per cell: 58

=====

Record 2
Entry from the Alexandria database: an optimized crystal structure of K10Na4In (PBE).

a = 14.4859 Å, b = 14.4859 Å, c = 9.2713 Å
α = 90.00°, β = 90.00°, γ = 90.00°
Closest atoms and distances in Å follow each position.
Space group I4/m (No. 87)
Asymmetric unit:
K 0.0000 0.5000 0.2500  4 Na 3.98
K 0.0978 0.8135 0.2324  1 In 3.74, 3 Na 4.04-4.11
Na 0.0957 0.2979 0.5000  8 K 3.98-4.11
In 0.0000 0.0000 0.0000  8 K 3.74

DFT formation energy in eV per atom: 0.09
Volume in Å³ per cell: 1946

=====

Copy entry 2 word for word.
Entry from the Alexandria database: an optimized crystal structure of K10Na4In (PBE).

a = 14.4859 Å, b = 14.4859 Å, c = 9.2713 Å
α = 90.00°, β = 90.00°, γ = 90.00°
Closest atoms and distances in Å follow each position.
Space group I4/m (No. 87)
Asymmetric unit:
K 0.0000 0.5000 0.2500  4 Na 3.98
K 0.0978 0.8135 0.2324  1 In 3.74, 3 Na 4.04-4.11
Na 0.0957 0.2979 0.5000  8 K 3.98-4.11
In 0.0000 0.0000 0.0000  8 K 3.74

DFT formation energy in eV per atom: 0.09
Volume in Å³ per cell: 1946